Pr3DyO6: relaxed, PBE.

Calculated values
Its spin magnetization is 0.00 μB per formula unit. Its total DFT energy (no corrections) is -8.253 eV per atom.

Geometry as POSCAR:
```
Pr3DyO6
1.0
5.005 2.890 3.891
-5.005 2.890 3.891
0.000 -5.779 3.891
Dy O Pr
2 12 6
Direct
0.000 0.000 0.000 Dy
0.500 0.500 0.500 Dy
0.308 0.910 0.066 O
0.934 0.692 0.090 O
0.533 0.403 0.191 O
0.910 0.066 0.308 O
0.191 0.533 0.403 O
0.597 0.809 0.467 O
0.403 0.191 0.533 O
0.809 0.467 0.597 O
0.090 0.934 0.692 O
0.467 0.597 0.809 O
0.066 0.308 0.910 O
0.692 0.090 0.934 O
0.252 0.557 0.063 Pr
0.557 0.063 0.252 Pr
0.937 0.748 0.443 Pr
0.063 0.252 0.557 Pr
0.443 0.937 0.748 Pr
0.748 0.443 0.937 Pr
```

=====

Dy2Pt2O5: relaxed, PBE.

Calculated values
Its spin magnetization is 0.15 μB per formula unit. Its total DFT energy (no corrections) is -6.589 eV per atom.

Geometry as POSCAR:
```
Dy2Pt2O5
1.0
-2.867 3.521 7.852
1.210 -3.041 1.805
3.333 1.618 0.491
Dy O Pt
2 5 2
Direct
0.261 0.500 0.500 Dy
0.739 0.500 0.500 Dy
0.133 0.500 0.000 O
0.867 0.500 0.000 O
0.133 0.000 0.500 O
0.867 0.000 0.500 O
0.500 0.500 0.500 O
0.000 0.000 0.000 Pt
0.500 0.000 0.000 Pt
```

=====

Dy2Pt2O5: relaxed, PBE.

Calculated values
Its spin magnetization is 0.00 μB per formula unit. Its total DFT energy (no corrections) is -6.672 eV per atom.

Geometry as POSCAR:
```
Dy2Pt2O5
1.0
-1.618 5.091 -4.420
-3.208 -2.109 -1.255
-2.266 1.752 2.848
Dy O Pt
2 5 2
Direct
0.000 0.000 0.000 Dy
0.500 0.000 0.000 Dy
0.237 0.500 0.000 O
0.763 0.500 0.000 O
0.237 0.000 0.500 O
0.763 0.000 0.500 O
0.500 0.500 0.500 O
0.191 0.500 0.500 Pt
0.809 0.500 0.500 Pt
```

=====

DyPtO3: relaxed, PBE.

Calculated values
Its spin magnetization is 0.15 μB per formula unit. Its total DFT energy (no corrections) is -6.868 eV per atom.

Geometry as POSCAR:
```
DyPtO3
1.0
0.693 -4.659 2.481
3.071 -3.411 -2.699
4.861 -0.596 2.088
Dy O Pt
2 6 2
Direct
0.250 0.250 0.250 Dy
0.750 0.750 0.750 Dy
0.371 0.750 0.129 O
0.871 0.629 0.250 O
0.750 0.129 0.371 O
0.250 0.871 0.629 O
0.129 0.371 0.750 O
0.629 0.250 0.871 O
0.000 0.000 0.000 Pt
0.500 0.500 0.500 Pt
```

=====

RbDyO3: relaxed, PBE.

Calculated values
Its spin magnetization is 2.00 μB per formula unit. Its total DFT energy (no corrections) is -5.949 eV per atom.

Geometry as POSCAR:
```
RbDyO3
1.0
4.422 0.000 0.000
0.000 4.422 0.000
0.000 0.000 4.485
Dy O Rb
1 3 1
Direct
0.500 0.500 0.580 Dy
0.500 0.500 0.079 O
0.500 0.000 0.580 O
0.000 0.500 0.580 O
0.000 0.000 0.080 Rb
```

=====

RbDyO3: relaxed, PBE.

Calculated values
Its spin magnetization is 2.00 μB per formula unit. Its total DFT energy (no corrections) is -5.392 eV per atom.

Geometry as POSCAR:
```
RbDyO3
1.0
3.368 -1.944 -4.725
-3.368 -1.944 -4.725
0.000 3.889 -4.725
Dy O Rb
2 6 2
Direct
0.250 0.250 0.250 Dy
0.750 0.750 0.750 Dy
0.750 0.438 0.062 O
0.562 0.938 0.250 O
0.062 0.750 0.438 O
0.938 0.250 0.562 O
0.438 0.062 0.750 O
0.250 0.562 0.938 O
0.000 0.000 0.000 Rb
0.500 0.500 0.500 Rb
```

=====

RbDyO3: relaxed, PBE.

Calculated values
Its spin magnetization is 2.00 μB per formula unit. Its total DFT energy (no corrections) is -5.950 eV per atom.

Geometry as POSCAR:
```
RbDyO3
1.0
-3.257 5.641 0.000
3.257 5.641 0.000
0.000 3.761 -5.356
Dy O Rb
2 6 2
Direct
0.847 0.847 0.459 Dy
0.153 0.153 0.541 Dy
0.100 0.064 0.284 O
0.552 0.100 0.284 O
0.064 0.552 0.284 O
0.936 0.448 0.716 O
0.448 0.900 0.716 O
0.900 0.936 0.716 O
0.621 0.621 0.137 Rb
0.379 0.379 0.863 Rb
```

=====

RbDyO3: relaxed, PBE.

Calculated values
Its spin magnetization is 2.00 μB per formula unit. Its total DFT energy (no corrections) is -5.844 eV per atom.

Geometry as POSCAR:
```
RbDyO3
1.0
6.009 0.000 0.000
0.000 5.891 0.000
0.000 0.000 11.001
Dy O Rb
4 12 4
Direct
0.960 0.014 0.250 Dy
0.540 0.514 0.250 Dy
0.460 0.486 0.750 Dy
0.040 0.986 0.750 Dy
0.744 0.259 0.147 O
0.756 0.759 0.147 O
0.244 0.271 0.250 O
0.256 0.771 0.250 O
0.744 0.259 0.353 O
0.756 0.759 0.353 O
0.244 0.241 0.647 O
0.256 0.741 0.647 O
0.744 0.229 0.750 O
0.756 0.729 0.750 O
0.244 0.241 0.853 O
0.256 0.741 0.853 O
0.500 0.000 0.000 Rb
0.000 0.500 0.000 Rb
0.500 0.000 0.500 Rb
0.000 0.500 0.500 Rb
```

=====

RbDyO3: relaxed, PBE.

Calculated values
Its spin magnetization is 2.00 μB per formula unit. Its total DFT energy (no corrections) is -5.954 eV per atom.

Geometry as POSCAR:
```
RbDyO3
1.0
-2.850 -3.994 -3.922
2.661 -1.332 -5.532
2.473 -5.696 -0.952
Dy O Rb
2 6 2
Direct
0.000 0.000 0.000 Dy
0.500 0.500 0.500 Dy
0.750 0.250 0.250 O
0.750 0.750 0.250 O
0.250 0.750 0.250 O
0.750 0.250 0.750 O
0.250 0.250 0.750 O
0.250 0.750 0.750 O
0.250 0.250 0.250 Rb
0.750 0.750 0.750 Rb
```

=====

RbDyO3: relaxed, PBE.

Calculated values
Its spin magnetization is 2.00 μB per formula unit. Its total DFT energy (no corrections) is -5.953 eV per atom.

Geometry as POSCAR:
```
RbDyO3
1.0
-1.034 -4.214 -0.999
4.328 -1.044 -0.072
-0.166 -0.987 4.338
Dy O Rb
1 3 1
Direct
0.500 0.500 0.500 Dy
0.500 0.500 0.000 O
0.500 0.000 0.500 O
0.000 0.500 0.500 O
0.000 0.000 0.000 Rb
```

=====

RbDyO3: relaxed, PBE.

Calculated values
Its spin magnetization is 0.01 μB per formula unit. Its total DFT energy (no corrections) is -5.391 eV per atom.

Geometry as POSCAR:
```
RbDyO3
1.0
3.877 0.000 0.000
0.000 3.877 0.000
0.000 0.000 5.649
Dy O Rb
1 3 1
Direct
0.000 0.000 0.919 Dy
0.500 0.500 0.044 O
0.500 0.000 0.740 O
0.000 0.500 0.740 O
0.500 0.500 0.456 Rb
```

=====

RbDyO3: relaxed, PBE.

Calculated values
Its spin magnetization is 2.00 μB per formula unit. Its total DFT energy (no corrections) is -5.954 eV per atom.

Geometry as POSCAR:
```
RbDyO3
1.0
6.284 0.000 0.000
0.000 6.327 0.000
0.000 0.000 8.922
Dy O Rb
4 12 4
Direct
0.500 0.000 0.000 Dy
0.000 0.500 0.000 Dy
0.500 0.000 0.500 Dy
0.000 0.500 0.500 Dy
0.746 0.254 0.002 O
0.754 0.754 0.002 O
0.496 0.002 0.250 O
0.004 0.502 0.250 O
0.746 0.254 0.498 O
0.754 0.754 0.498 O
0.246 0.246 0.502 O
0.254 0.746 0.502 O
0.996 0.498 0.750 O
0.504 0.998 0.750 O
0.246 0.246 0.998 O
0.254 0.746 0.998 O
0.000 0.000 0.250 Rb
0.500 0.500 0.250 Rb
0.500 0.500 0.750 Rb
0.000 0.000 0.750 Rb
```